# 1
! Ba2DyInAu6 | Alexandria via LeMat-Bulk | PBE | relaxed; values from VASP
! formation energy from the elements	-0.365	eV per atom
! total energy	-3.45	eV per atom
&SYSTEM
  ibrav = 0, nat = 10, ntyp = 4
/
ATOMIC_SPECIES
Ba 137.33 Ba.upf
In 114.82 In.upf
Au 196.97 Au.upf
Dy 162.50 Dy.upf
CELL_PARAMETERS angstrom
-5.919 1.200 4.819
2.616 -5.619 4.613
1.334 1.443 7.472
ATOMIC_POSITIONS crystal
Ba 0.250 0.750 0.500
Ba 0.750 0.250 0.500
In 0.000 0.000 0.000
Au 0.753 0.247 0.000
Au 0.247 0.247 0.506
Au 0.753 0.753 0.494
Au 0.753 0.753 0.000
Au 0.247 0.247 0.000
Au 0.247 0.753 0.000
Dy 0.500 0.500 0.000



# 2
! BaDyMg2Au4 | Alexandria via LeMat-Bulk | PBE | relaxed; values from VASP
! formation energy from the elements	-0.694	eV per atom
! total energy	-3.55	eV per atom
&SYSTEM
  ibrav = 0, nat = 8, ntyp = 4
/
ATOMIC_SPECIES
Au 196.97 Au.upf
Mg 24.30 Mg.upf
Dy 162.50 Dy.upf
Ba 137.33 Ba.upf
CELL_PARAMETERS angstrom
4.757 0.000 0.000
2.378 4.120 0.000
2.378 1.373 9.966
ATOMIC_POSITIONS crystal
Au 0.597 0.597 0.208
Au 0.880 0.880 0.360
Au 0.120 0.120 0.640
Au 0.403 0.403 0.792
Mg 0.762 0.762 0.713
Mg 0.238 0.238 0.287
Dy 0.500 0.500 0.500
Ba 0.000 0.000 0.000



# 3
! Ba2DyAuO5 | Alexandria via LeMat-Bulk | PBE | relaxed; values from VASP
! formation energy from raw total energies	-2075	meV per atom
! total energy	-6.13	eV per atom
&SYSTEM
  ibrav = 0, nat = 18, ntyp = 4
/
ATOMIC_SPECIES
O 16.00 O.upf
Dy 162.50 Dy.upf
Au 196.97 Au.upf
Ba 137.33 Ba.upf
CELL_PARAMETERS angstrom
3.636 0.000 0.000
-1.818 7.048 0.000
0.000 0.000 12.090
ATOMIC_POSITIONS crystal
O 0.333 0.667 0.398
O 0.270 0.541 0.636
O 0.667 0.333 0.898
O 0.624 0.247 0.486
O 0.517 0.034 0.281
O 0.938 0.876 0.573
O 0.376 0.753 0.986
O 0.483 0.966 0.781
O 0.062 0.124 0.073
O 0.730 0.459 0.136
Dy 0.208 0.416 0.022
Dy 0.792 0.584 0.522
Au 0.522 0.044 0.946
Au 0.478 0.956 0.446
Ba 0.150 0.300 0.299
Ba 0.850 0.700 0.799
Ba 0.092 0.185 0.682
Ba 0.908 0.815 0.182



# 4
! Ba2DyAu2O6 | Alexandria via LeMat-Bulk | PBE | relaxed; values from VASP
! formation energy from raw total energies	-1681	meV per atom
! total energy	-5.75	eV per atom
&SYSTEM
  ibrav = 0, nat = 11, ntyp = 4
/
ATOMIC_SPECIES
Ba 137.33 Ba.upf
Dy 162.50 Dy.upf
O 16.00 O.upf
Au 196.97 Au.upf
CELL_PARAMETERS angstrom
-5.069 -2.319 1.604
1.489 -0.301 -6.219
3.373 -4.341 4.383
ATOMIC_POSITIONS crystal
Ba 0.289 0.577 0.835
Ba 0.711 0.423 0.165
Dy 0.500 0.000 0.500
O 0.835 0.150 0.789
O 0.685 0.850 0.211
O 0.165 0.850 0.211
O 0.722 0.444 0.590
O 0.278 0.556 0.410
O 0.315 0.150 0.789
Au 0.923 0.845 0.714
Au 0.077 0.155 0.286



# 5
! Ba3DyAu2O6 | Alexandria via LeMat-Bulk | PBE | relaxed; values from VASP
! formation energy from raw total energies	-1756	meV per atom
! total energy	-5.65	eV per atom
&SYSTEM
  ibrav = 0, nat = 12, ntyp = 4
/
ATOMIC_SPECIES
Au 196.97 Au.upf
Ba 137.33 Ba.upf
O 16.00 O.upf
Dy 162.50 Dy.upf
CELL_PARAMETERS angstrom
-4.948 1.304 3.524
1.215 -5.881 -1.595
3.865 -0.749 5.704
ATOMIC_POSITIONS crystal
Au 0.333 0.667 0.133
Au 0.667 0.333 0.867
Ba 0.000 0.000 0.000
Ba 0.333 0.667 0.631
Ba 0.667 0.333 0.369
O 0.835 0.165 0.690
O 0.670 0.835 0.310
O 0.330 0.165 0.690
O 0.165 0.835 0.310
O 0.165 0.330 0.310
O 0.835 0.670 0.690
Dy 0.000 0.000 0.500



# 6
! BaDy4Au3O12 | Alexandria via LeMat-Bulk | PBE | relaxed; values from VASP
! formation energy from raw total energies	-2089	meV per atom
! total energy	-6.57	eV per atom
&SYSTEM
  ibrav = 0, nat = 20, ntyp = 4
/
ATOMIC_SPECIES
Dy 162.50 Dy.upf
O 16.00 O.upf
Au 196.97 Au.upf
Ba 137.33 Ba.upf
CELL_PARAMETERS angstrom
-1.574 -5.649 -4.240
0.237 -2.157 6.904
-5.094 5.083 -0.765
ATOMIC_POSITIONS crystal
Dy 0.500 0.500 0.500
Dy 0.500 0.000 0.000
Dy 0.000 0.500 0.000
Dy 0.000 0.000 0.500
O 0.161 0.476 0.316
O 0.839 0.524 0.684
O 0.155 0.316 0.839
O 0.316 0.839 0.155
O 0.476 0.316 0.161
O 0.524 0.684 0.839
O 0.684 0.161 0.845
O 0.839 0.155 0.316
O 0.684 0.839 0.524
O 0.316 0.161 0.476
O 0.161 0.845 0.684
O 0.845 0.684 0.161
Au 0.500 0.000 0.500
Au 0.500 0.500 0.000
Au 0.000 0.500 0.500
Ba 0.000 0.000 0.000



# 7
! BaDyAuSe3 | Alexandria via LeMat-Bulk | PBE | relaxed; values from VASP
! formation energy from raw total energies	-1498	meV per atom
! total energy	-4.87	eV per atom
&SYSTEM
  ibrav = 0, nat = 12, ntyp = 4
/
ATOMIC_SPECIES
Se 78.96 Se.upf
Au 196.97 Au.upf
Dy 162.50 Dy.upf
Ba 137.33 Ba.upf
CELL_PARAMETERS angstrom
4.241 0.000 0.000
0.000 8.655 -0.179
0.000 -2.462 9.298
ATOMIC_POSITIONS crystal
Se 0.750 0.447 0.150
Se 0.750 0.263 0.530
Se 0.250 0.737 0.470
Se 0.750 0.899 0.132
Se 0.250 0.101 0.868
Se 0.250 0.553 0.850
Au 0.750 0.899 0.408
Au 0.250 0.101 0.592
Dy 0.750 0.320 0.838
Dy 0.250 0.680 0.162
Ba 0.250 0.206 0.251
Ba 0.750 0.794 0.749



# 8
! Ba2DySn3Au4 | Alexandria via LeMat-Bulk | PBE | relaxed; values from VASP
! formation energy from the elements	-0.653	eV per atom
! total energy	-4.01	eV per atom
&SYSTEM
  ibrav = 0, nat = 10, ntyp = 4
/
ATOMIC_SPECIES
Ba 137.33 Ba.upf
Au 196.97 Au.upf
Sn 118.71 Sn.upf
Dy 162.50 Dy.upf
CELL_PARAMETERS angstrom
-3.706 -1.430 -2.731
3.079 -1.942 -3.161
-0.400 -10.283 5.928
ATOMIC_POSITIONS crystal
Ba 0.000 0.500 0.770
Ba 0.500 0.000 0.230
Au 0.500 0.000 0.643
Au 0.000 0.500 0.357
Au 0.000 0.000 0.000
Au 0.500 0.500 0.000
Sn 0.000 0.500 0.124
Sn 0.000 0.000 0.500
Sn 0.500 0.000 0.876
Dy 0.500 0.500 0.500



# 9
! BaDyTe3Au | Alexandria via LeMat-Bulk | PBE | relaxed; values from VASP
! formation energy from raw total energies	-1224	meV per atom
! total energy	-4.43	eV per atom
&SYSTEM
  ibrav = 0, nat = 12, ntyp = 4
/
ATOMIC_SPECIES
Dy 162.50 Dy.upf
Te 127.60 Te.upf
Au 196.97 Au.upf
Ba 137.33 Ba.upf
CELL_PARAMETERS angstrom
4.493 0.000 0.000
0.000 9.134 -0.146
0.000 -2.555 9.908
ATOMIC_POSITIONS crystal
Dy 0.250 0.681 0.163
Dy 0.750 0.319 0.837
Te 0.750 0.903 0.130
Te 0.250 0.557 0.846
Te 0.750 0.443 0.154
Te 0.250 0.097 0.870
Te 0.250 0.747 0.470
Te 0.750 0.253 0.530
Au 0.250 0.087 0.592
Au 0.750 0.913 0.408
Ba 0.250 0.201 0.259
Ba 0.750 0.799 0.741



# 10
! BaEr4Au5 | Alexandria via LeMat-Bulk | PBE | relaxed; values from VASP
! formation energy from the elements	-0.822	eV per atom
! total energy	-4.48	eV per atom
&SYSTEM
  ibrav = 0, nat = 10, ntyp = 3
/
ATOMIC_SPECIES
Au 196.97 Au.upf
Er 167.26 Er.upf
Ba 137.33 Ba.upf
CELL_PARAMETERS angstrom
3.624 0.000 0.000
0.000 3.624 0.000
0.000 0.000 18.523
ATOMIC_POSITIONS crystal
Au 0.500 0.500 0.130
Au 0.500 0.500 0.500
Au 0.500 0.500 0.310
Au 0.500 0.500 0.870
Au 0.500 0.500 0.690
Er 0.000 0.000 0.788
Er 0.000 0.000 0.595
Er 0.000 0.000 0.212
Er 0.000 0.000 0.405
Ba 0.000 0.000 0.000



# 11
! BaErAu | Alexandria via LeMat-Bulk | PBE | relaxed; values from VASP
! formation energy from the elements	-0.474	eV per atom
! total energy	-3.73	eV per atom
&SYSTEM
  ibrav = 0, nat = 3, ntyp = 3
/
ATOMIC_SPECIES
Ba 137.33 Ba.upf
Au 196.97 Au.upf
Er 167.26 Er.upf
CELL_PARAMETERS angstrom
-2.905 -2.263 -1.017
-0.667 -0.795 3.676
-2.471 6.825 -0.957
ATOMIC_POSITIONS crystal
Ba 0.018 0.018 0.037
Au 0.697 0.697 0.393
Er 0.285 0.285 0.570



# 12
! BaErAu | Alexandria via LeMat-Bulk | PBE | relaxed; values from VASP
! formation energy from the elements	-0.547	eV per atom
! total energy	-3.80	eV per atom
&SYSTEM
  ibrav = 0, nat = 6, ntyp = 3
/
ATOMIC_SPECIES
Ba 137.33 Ba.upf
Er 167.26 Er.upf
Au 196.97 Au.upf
CELL_PARAMETERS angstrom
-0.358 -1.493 -4.854
-3.184 -3.725 1.381
-6.045 4.786 -1.026
ATOMIC_POSITIONS crystal
Ba 0.000 0.500 0.878
Ba 0.500 0.000 0.122
Er 0.000 0.000 0.500
Er 0.500 0.500 0.500
Au 0.000 0.500 0.315
Au 0.500 0.000 0.685



| no. | magnetic moment (μB per atom) |
| --- | --- |
| 1 | 0.000 |
| 2 | 0.000 |
| 3 | 0.000 |
| 4 | 0.021 |
| 5 | 0.000 |
| 6 | 0.000 |
| 7 | 0.000 |
| 8 | 0.000 |
| 9 | 0.000 |
| 10 | 0.000 |
| 11 | 0.000 |
| 12 | 0.000 |